Computed, not measured: a relaxed CoSb2As crystal at the PBE level of DFT.

Values from the calculation:
final energy = -4.828 eV per atom
formation energy from raw total energies = 0.17 eV per atom
symmetry = No. 44

a = 6.4084 Å, b = 6.4084 Å, c = 6.4084 Å
α = 151.50°, β = 137.44°, γ = 52.02°
With the nearest neighbours (Å) after each atom.
Atoms (fractional coordinates):
Sb  0.0679  0.0679  0.0000  2 Co 2.73
Sb  0.7536  0.2536  0.5000  4 Co 2.81, 2 As 2.99
Co  0.2612  0.7612  0.5000  2 As 2.39
As  0.4173  0.4173  0.0000  2 Co 2.39


Computed, not measured: a relaxed ErMgGe2 crystal at the PBE level of DFT.

Values from the calculation:
final energy = -4.310 eV per atom
polymorph energy (0 for the lowest one) = 0 meV per atom
formation energy = -0.4619 eV/atom
symmetry = No. 123

a = 4.0360 Å, b = 4.4778 Å, c = 4.4778 Å
α = 90.00°, β = 90.00°, γ = 90.00°
With the nearest neighbours (Å) after each atom.
Atoms (fractional coordinates):
Mg  0.5000  0.0000  0.0000  8 Ge 3.01, 4 Er 3.17
Er  0.5000  0.5000  0.5000  8 Ge 3.01, 4 Mg 3.17
Ge  0.0000  0.0000  0.5000  4 Mg 3.01, 4 Er 3.01, 4 Ge 3.17
Ge  0.0000  0.5000  0.0000  4 Er 3.01, 4 Mg 3.01, 4 Ge 3.17


Computed, not measured: a relaxed LiNbGe2Mo crystal at the PBE level of DFT.

Values from the calculation:
final energy = -5.589 eV per atom
formation energy = 0.8210 eV/atom
symmetry = No. 123

a = 4.3025 Å, b = 4.3025 Å, c = 4.2838 Å
α = 90.00°, β = 90.00°, γ = 90.00°
With the nearest neighbours (Å) after each atom.
Atoms (fractional coordinates):
Li  0.0000  0.0000  0.0000  2 Mo 2.14, 4 Ge 2.15
Nb  0.5000  0.5000  0.5000  8 Ge 3.04, 4 Mo 3.04
Ge  0.5000  0.0000  0.0000  2 Li 2.15
Ge  0.0000  0.5000  0.0000  2 Li 2.15
Mo  0.0000  0.0000  0.5000  2 Li 2.14


Computed, not measured: a relaxed La2InAu2 crystal at the PBE level of DFT.

Values from the calculation:
final energy = -4.321 eV per atom
formation energy = -0.4915 eV/atom
symmetry = No. 139

a = 3.9356 Å, b = 3.9356 Å, c = 9.5494 Å
α = 78.11°, β = 78.11°, γ = 90.00°
With the nearest neighbours (Å) after each atom.
Atoms (fractional coordinates):
In  0.0000  0.0000  0.0000  8 La 3.46
La  0.3878  0.3878  0.2245  4 Au 3.19, 4 In 3.46
La  0.6122  0.6122  0.7755  4 Au 3.19, 4 In 3.46
Au  0.7500  0.2500  0.5000  4 Au 2.78
Au  0.2500  0.7500  0.5000  4 Au 2.78


Computed, not measured: a relaxed Rb4Sm3SnTe8 crystal at the PBE level of DFT.

Values from the calculation:
final energy = -4.125 eV per atom
formation energy from raw total energies = -1.18 eV per atom
symmetry = No. 166

a = 9.2051 Å, b = 10.0689 Å, c = 9.2052 Å
α = 117.22°, β = 120.00°, γ = 90.00°
With the nearest neighbours (Å) after each atom.
Atoms (fractional coordinates):
Te  0.2313  0.6991  0.9679  1 Sn 3.13, 2 Sm 3.17
Te  0.7367  0.6991  0.9679  1 Sn 3.13, 2 Sm 3.17
Te  0.7687  0.3009  0.0321  1 Sn 3.13, 2 Sm 3.17
Te  0.7347  0.7039  0.4693  3 Sm 3.18
Te  0.7687  0.3008  0.5374  1 Sn 3.13, 2 Sm 3.17
Te  0.2653  0.2961  0.5307  3 Sm 3.18
Te  0.2633  0.3009  0.0321  1 Sn 3.13, 2 Sm 3.17
Te  0.2313  0.6992  0.4626  1 Sn 3.13, 2 Sm 3.17
Rb  0.5000  0.0000  0.0000  6 Te 3.72
Rb  0.5000  0.0000  0.5000  6 Te 3.67-3.69
Rb  0.0000  0.0000  0.0000  6 Te 3.67-3.69
Rb  0.0000  0.0000  0.5000  6 Te 3.67-3.69
Sm  0.5000  0.5000  0.5000  6 Te 3.17-3.18
Sm  0.5000  0.5000  0.0000  6 Te 3.17-3.18
Sm  0.0000  0.5000  0.5000  6 Te 3.17-3.18
Sn  0.0000  0.5000  0.0000  6 Te 3.13


Computed, not measured: a relaxed YNi2 crystal at the PBE level of DFT.

Values from the calculation:
final energy = -6.382 eV per atom
formation energy = -0.3731 eV/atom
symmetry = No. 141

a = 3.8794 Å, b = 7.4948 Å, c = 3.8794 Å
α = 75.00°, β = 90.00°, γ = 105.00°
With the nearest neighbours (Å) after each atom.
Atoms (fractional coordinates):
Ni  0.5818  0.1636  0.4182  3 Ni 2.28
Ni  0.1682  0.3364  0.3318  3 Ni 2.28
Ni  0.4182  0.8364  0.5818  3 Ni 2.28
Ni  0.3318  0.6636  0.1682  3 Ni 2.28
Y  0.7500  0.5000  0.7500  12 Ni 2.97-3.04
Y  0.0000  0.0000  0.0000  12 Ni 2.97-3.04


Computed, not measured: a relaxed Cs2InPb crystal at the PBE level of DFT.

Values from the calculation:
final energy = -1.884 eV per atom
polymorph energy (0 for the lowest one) = 276 meV per atom
formation energy = 0.1540 eV/atom
symmetry = No. 225

a = 6.4867 Å, b = 6.4867 Å, c = 6.4867 Å
α = 60.00°, β = 60.00°, γ = 60.00°
With the nearest neighbours (Å) after each atom.
Atoms (fractional coordinates):
Cs  0.7500  0.7500  0.7500  4 Pb 3.97, 4 In 3.97
Cs  0.2500  0.2500  0.2500  4 In 3.97, 4 Pb 3.97
In  0.0000  0.0000  0.0000  8 Cs 3.97
Pb  0.5000  0.5000  0.5000  8 Cs 3.97


Computed, not measured: a relaxed NaDyPdPt crystal at the PBE level of DFT.

Values from the calculation:
final energy = -4.948 eV per atom
formation energy = -0.6595 eV/atom
symmetry = No. 216

a = 4.8145 Å, b = 4.8145 Å, c = 4.8145 Å
α = 60.00°, β = 60.00°, γ = 60.00°
With the nearest neighbours (Å) after each atom.
Atoms (fractional coordinates):
Pt  0.7500  0.7500  0.7500  4 Dy 2.95, 4 Na 2.95
Pd  0.2500  0.2500  0.2500  4 Dy 2.95, 4 Na 2.95
Dy  0.0000  0.0000  0.0000  4 Pd 2.95, 4 Pt 2.95
Na  0.5000  0.5000  0.5000  4 Pd 2.95, 4 Pt 2.95


Computed, not measured: a relaxed La3InCo crystal at the PBE level of DFT.

Values from the calculation:
final energy = -5.069 eV per atom
polymorph energy (0 for the lowest one) = 148 meV per atom
formation energy = -0.1436 eV/atom
symmetry = No. 148

a = 8.3901 Å, b = 8.3901 Å, c = 8.3901 Å
α = 49.49°, β = 49.49°, γ = 49.49°
With the nearest neighbours (Å) after each atom.
Atoms (fractional coordinates):
La  0.1371  0.7829  0.3822  2 Co 2.79-2.94
La  0.3822  0.1371  0.7829  2 Co 2.79-2.94
La  0.8629  0.2171  0.6178  2 Co 2.79-2.94
La  0.6178  0.8629  0.2171  2 Co 2.79-2.94
La  0.7829  0.3822  0.1371  2 Co 2.79-2.94
La  0.2171  0.6178  0.8629  2 Co 2.79-2.94
In  0.3206  0.3206  0.3206  1 Co 2.81
In  0.6794  0.6794  0.6794  1 Co 2.81
Co  0.8068  0.8068  0.8068  6 La 2.79-2.94, 1 In 2.81
Co  0.1932  0.1932  0.1932  6 La 2.79-2.94, 1 In 2.81


Computed, not measured: a relaxed Zr2Tc crystal at the PBE level of DFT.

Values from the calculation:
final energy = -9.324 eV per atom
polymorph energy (0 for the lowest one) = 105 meV per atom
formation energy = -0.1703 eV/atom
symmetry = No. 140

a = 5.4500 Å, b = 5.4500 Å, c = 5.4500 Å
α = 108.01°, β = 108.01°, γ = 112.43°
With the nearest neighbours (Å) after each atom.
Atoms (fractional coordinates):
Zr  0.1782  0.6782  0.8564  4 Tc 2.80
Zr  0.6782  0.8218  0.5000  4 Tc 2.80
Zr  0.8218  0.3218  0.1436  4 Tc 2.80
Zr  0.3218  0.1782  0.5000  4 Tc 2.80
Tc  0.2500  0.2500  0.0000  8 Zr 2.80, 2 Tc 3.03
Tc  0.7500  0.7500  0.0000  8 Zr 2.80, 2 Tc 3.03